1.
The following is a GGA-PBE calculation of AcPuZr after structural relaxation, from OQMD via LeMat-Bulk.

Values from the calculation:
The space-group type is F-43m. For the formation energy, the calculation gives 1.094 eV per atom. For the calculated density, the calculation gives 8944 kg/m3. Its polymorph energy (0 for the lowest one) is 0.78 eV/f.u. As for the total DFT energy (no corrections): -23.50 eV/cell. Its crystal system is cubic.

Cell lengths 5.285, 5.285, 5.285 Å; angles 60.00, 60.00, 60.00 degrees
Fractional coordinates of all 3 atoms:
Ac: 0.000 0.000 0.000
Pu: 0.250 0.250 0.250
Zr: 0.750 0.750 0.750

=====

2.
The following is a GGA-PBE calculation of NpBr2Cl after structural relaxation, from OQMD via LeMat-Bulk.

Values from the calculation:
The space-group type is P2_1/m. For the calculated density, the calculation gives 6290 kg/m3. Its polymorph energy (0 for the lowest one) is 0.00 eV/f.u. As for the total DFT energy (no corrections): -47.80 eV/cell. Its crystal system is monoclinic.

Cell lengths 7.595, 4.365, 7.747 Å; angles 90.00, 117.30, 90.00 degrees
Site moments in Bohr magnetons follow the coordinates.
Fractional coordinates of all 8 atoms:
Br: 0.878 0.250 0.088  -0.04
Br: 0.122 0.750 0.912  -0.04
Br: 0.577 0.750 0.703  -0.04
Br: 0.423 0.250 0.297  -0.04
Np: 0.162 0.750 0.334  3.98
Np: 0.838 0.250 0.666  3.98
Cl: 0.818 0.750 0.412  -0.03
Cl: 0.182 0.250 0.588  -0.03

=====

3.
The following is a GGA-PBE calculation of YErAl2Pt4 after structural relaxation, from OQMD via LeMat-Bulk.

Values from the calculation:
The space-group type is P-6m2. For the calculated density, the calculation gives 12048 kg/m3. As for the total DFT energy (no corrections): -52.29 eV/cell. Its crystal system is hexagonal.

Cell lengths 4.338, 4.338, 9.223 Å; angles 90.00, 90.00, 120.00 degrees
Fractional coordinates of all 8 atoms:
Al: 0.667 0.333 0.751
Al: 0.667 0.333 0.249
Pt: 0.333 0.667 0.163
Pt: 0.000 0.000 0.669
Pt: 0.333 0.667 0.837
Pt: 0.000 0.000 0.331
Y: 0.333 0.667 0.500
Er: 0.000 0.000 0.000

=====

4.
The following is a GGA-PBE calculation of Er2PdPt after structural relaxation, from OQMD via LeMat-Bulk.

Values from the calculation:
The space-group type is P2_1/m. For the formation energy, the calculation gives -1.144 eV per atom. For the calculated density, the calculation gives 12170 kg/m3. As for the total DFT energy (no corrections): -49.87 eV/cell. Its crystal system is monoclinic.

Cell lengths 5.544, 4.502, 7.377 Å; angles 90.00, 109.49, 90.00 degrees
Fractional coordinates of all 8 atoms:
Er: 0.221 0.250 0.434
Er: 0.772 0.750 0.072
Er: 0.228 0.250 0.928
Er: 0.779 0.750 0.566
Pt: 0.671 0.250 0.293
Pt: 0.329 0.750 0.707
Pd: 0.682 0.250 0.795
Pd: 0.318 0.750 0.205

=====

5.
The following is a GGA-PBE calculation of CsBeCoTe3 after structural relaxation, from OQMD via LeMat-Bulk.

Values from the calculation:
The space-group type is Cmcm. For the calculated density, the calculation gives 5609 kg/m3. As for the total DFT energy (no corrections): -46.32 eV/cell. Its crystal system is orthorhombic.

Cell lengths 8.605, 8.605, 10.469 Å; angles 90.00, 90.00, 153.53 degrees
Site moments in Bohr magnetons follow the coordinates.
Fractional coordinates of all 12 atoms:
Te: 0.599 0.401 0.458  -0.01
Te: 0.599 0.401 0.042  -0.01
Te: 0.401 0.599 0.958  -0.01
Te: 0.401 0.599 0.542  -0.01
Te: 0.053 0.947 0.750  0.00
Te: 0.947 0.053 0.250  0.00
Co: 0.000 0.000 0.000  0.18
Co: 0.000 0.000 0.500  0.17
Cs: 0.752 0.248 0.750  0.00
Cs: 0.248 0.752 0.250  0.00
Be: 0.534 0.466 0.250  0.00
Be: 0.466 0.534 0.750  0.00

=====

6.
The following is a GGA-PBE calculation of ErTmCu2Sn2 after structural relaxation, from OQMD via LeMat-Bulk.

Values from the calculation:
The space-group type is P3m1. For the calculated density, the calculation gives 9220 kg/m3. As for the total DFT energy (no corrections): -28.01 eV/cell. Its crystal system is trigonal.

Cell lengths 4.511, 4.511, 7.161 Å; angles 90.00, 90.00, 120.00 degrees
Fractional coordinates of all 6 atoms:
Cu: 0.333 0.667 0.056
Cu: 0.667 0.333 0.553
Er: 0.000 0.000 0.733
Sn: 0.667 0.333 0.964
Sn: 0.333 0.667 0.462
Tm: 0.000 0.000 0.233

=====

7.
The following is a GGA-PBE calculation of CdReTe after structural relaxation, from OQMD via LeMat-Bulk.

Values from the calculation:
The space-group type is F-43m. For the calculated density, the calculation gives 10626 kg/m3. Its polymorph energy (0 for the lowest one) is 0.00 eV/f.u. As for the total DFT energy (no corrections): -14.06 eV/cell. Its crystal system is cubic.

Cell lengths 4.550, 4.550, 4.550 Å; angles 60.00, 60.00, 60.00 degrees
Fractional coordinates of all 3 atoms:
Re: 0.000 0.000 0.000
Cd: 0.250 0.250 0.250
Te: 0.750 0.750 0.750

=====

8.
The following is a GGA-PBE calculation of GdTcAs after structural relaxation, from OQMD via LeMat-Bulk.

Values from the calculation:
The space-group type is F-43m. For the calculated density, the calculation gives 8462 kg/m3. Its polymorph energy (0 for the lowest one) is 0.00 eV/f.u. As for the total DFT energy (no corrections): -20.21 eV/cell. Its crystal system is cubic.

Cell lengths 4.508, 4.508, 4.508 Å; angles 60.00, 60.00, 60.00 degrees
Fractional coordinates of all 3 atoms:
Tc: 0.750 0.750 0.750
As: 0.000 0.000 0.000
Gd: 0.250 0.250 0.250

=====

9.
The following is a GGA-PBE calculation of GdMgZn after structural relaxation, from OQMD via LeMat-Bulk.

Values from the calculation:
The space-group type is P3m1. For the calculated density, the calculation gives 5902 kg/m3. As for the total DFT energy (no corrections): -23.14 eV/cell. Its crystal system is trigonal.

Cell lengths 4.981, 4.981, 9.703 Å; angles 90.00, 90.00, 120.00 degrees
Fractional coordinates of all 9 atoms:
Zn: 0.333 0.667 0.315
Zn: 0.667 0.333 0.511
Zn: 0.000 0.000 0.751
Mg: 0.000 0.000 0.430
Mg: 0.000 0.000 0.067
Mg: 0.333 0.667 0.624
Gd: 0.333 0.667 0.979
Gd: 0.667 0.333 0.211
Gd: 0.667 0.333 0.813

=====

10.
The following is a GGA-PBE calculation of CoW2 after structural relaxation, from OQMD via LeMat-Bulk.

Values from the calculation:
The space-group type is P6_3/mmc. For the formation energy, the calculation gives 0.478 eV per atom. For the calculated density, the calculation gives 15655 kg/m3. Its polymorph energy (0 for the lowest one) is 1.39 eV/f.u. As for the total DFT energy (no corrections): -252.75 eV/cell. Its crystal system is hexagonal.

Cell lengths 5.094, 5.094, 16.107 Å; angles 90.00, 90.00, 120.00 degrees
Site moments in Bohr magnetons follow the coordinates.
Fractional coordinates of all 24 atoms:
W: 0.673 0.836 0.250  -0.03
W: 0.500 0.500 0.500  -0.05
W: 0.000 0.500 0.500  -0.02
W: 0.500 0.000 0.000  -0.05
W: 0.327 0.164 0.750  -0.03
W: 0.667 0.333 0.154  0.02
W: 0.836 0.164 0.750  -0.02
W: 0.164 0.836 0.250  -0.02
W: 0.500 0.000 0.500  -0.05
W: 0.333 0.667 0.654  0.03
W: 0.667 0.333 0.346  0.03
W: 0.836 0.673 0.750  -0.03
W: 0.000 0.500 0.000  -0.01
W: 0.164 0.327 0.250  -0.03
W: 0.333 0.667 0.846  0.02
W: 0.500 0.500 0.000  -0.05
Co: 0.000 0.000 0.912  0.95
Co: 0.000 0.000 0.088  0.95
Co: 0.667 0.333 0.874  -0.20
Co: 0.333 0.667 0.374  -0.19
Co: 0.667 0.333 0.626  -0.19
Co: 0.000 0.000 0.412  0.95
Co: 0.333 0.667 0.126  -0.20
Co: 0.000 0.000 0.588  0.95

=====

11.
The following is a GGA-PBE calculation of DyInHgSe3 after structural relaxation, from OQMD via LeMat-Bulk.

Values from the calculation:
The space-group type is Cmcm. For the calculated density, the calculation gives 7101 kg/m3. As for the total DFT energy (no corrections): -46.72 eV/cell. Its crystal system is orthorhombic.

Cell lengths 7.518, 7.518, 11.001 Å; angles 90.00, 90.00, 32.52 degrees
Fractional coordinates of all 12 atoms:
Se: 0.635 0.635 0.543
Se: 0.921 0.921 0.750
Se: 0.635 0.635 0.957
Se: 0.079 0.079 0.250
Se: 0.365 0.365 0.043
Se: 0.365 0.365 0.457
Dy: 0.000 0.000 0.500
Dy: 0.000 0.000 0.000
In: 0.253 0.253 0.750
In: 0.747 0.747 0.250
Hg: 0.455 0.455 0.250
Hg: 0.545 0.545 0.750

=====

12.
The following is a GGA-PBE calculation of Pm2SbH after structural relaxation, from OQMD via LeMat-Bulk.

Values from the calculation:
The space-group type is P4/mmm. For the calculated density, the calculation gives 6237 kg/m3. As for the total DFT energy (no corrections): -18.72 eV/cell. Its crystal system is tetragonal.

Cell lengths 4.285, 4.285, 5.985 Å; angles 90.00, 90.00, 90.00 degrees
Site moments in Bohr magnetons follow the coordinates.
Fractional coordinates of all 4 atoms:
H: 0.000 0.000 0.500  -0.01
Sb: 0.500 0.500 0.000  0.00
Pm: 0.000 0.000 0.000  0.02
Pm: 0.500 0.500 0.500  0.13

=====

- The lowest total DFT energy (no corrections) belongs to which entry?
  CoW2

=====

- Which value of calculated density does entry 2 give?
  6290 kg/m3

=====

Repeat the twelfth record exactly.
The following is a GGA-PBE calculation of Pm2SbH after structural relaxation, from OQMD via LeMat-Bulk.

Values from the calculation:
The space-group type is P4/mmm. For the calculated density, the calculation gives 6237 kg/m3. As for the total DFT energy (no corrections): -18.72 eV/cell. Its crystal system is tetragonal.

Cell lengths 4.285, 4.285, 5.985 Å; angles 90.00, 90.00, 90.00 degrees
Site moments in Bohr magnetons follow the coordinates.
Fractional coordinates of all 4 atoms:
H: 0.000 0.000 0.500  -0.01
Sb: 0.500 0.500 0.000  0.00
Pm: 0.000 0.000 0.000  0.02
Pm: 0.500 0.500 0.500  0.13

=====

What did the sixth record say?
The following is a GGA-PBE calculation of ErTmCu2Sn2 after structural relaxation, from OQMD via LeMat-Bulk.

Values from the calculation:
The space-group type is P3m1. For the calculated density, the calculation gives 9220 kg/m3. As for the total DFT energy (no corrections): -28.01 eV/cell. Its crystal system is trigonal.

Cell lengths 4.511, 4.511, 7.161 Å; angles 90.00, 90.00, 120.00 degrees
Fractional coordinates of all 6 atoms:
Cu: 0.333 0.667 0.056
Cu: 0.667 0.333 0.553
Er: 0.000 0.000 0.733
Sn: 0.667 0.333 0.964
Sn: 0.333 0.667 0.462
Tm: 0.000 0.000 0.233